No. 1
{
  "formula": "SrOsW2",
  "functional": "PBE",
  "state": "relaxed",
  "relative_energy_ev_per_atom": 0.186,
  "space_group": "No. 71",
  "n_ef_per_ev_cell": 4.95,
  "dft_energy_ev_per_fu": -35.3,
  "formation_energy_ev_per_atom": 0.8708,
  "lattice_angstrom": [[6.129, -0.011, -0.005], [3.337, 5.141, 0.005], [-3.995, -3.926, 2.487]],
  "species": ["Os", "Sr", "W", "W"],
  "frac_coords": [[0.750, 0.250, 0.500], [0.250, 0.750, 0.500], [0.959, 0.959, 0.000], [0.541, 0.541, 0.000]]
}



No. 2
{
  "formula": "KBe2Ir",
  "functional": "PBE",
  "state": "relaxed",
  "relative_energy_ev_per_atom": 0.745,
  "space_group": "No. 71",
  "n_ef_per_ev_cell": 1.20,
  "dft_energy_ev_per_fu": -14.7,
  "formation_energy_ev_per_atom": 0.6756,
  "lattice_angstrom": [[5.052, -0.088, -0.053], [0.317, 5.043, 0.053], [-1.744, -3.497, 3.204]],
  "species": ["Be", "Be", "K", "Ir"],
  "frac_coords": [[0.103, 0.103, 0.000], [0.397, 0.397, 0.000], [0.750, 0.250, 0.500], [0.250, 0.750, 0.500]]
}



No. 3
{
  "formula": "Mg2In3Ni3",
  "functional": "PBE",
  "state": "relaxed",
  "space_group": "No. 193",
  "n_ef_per_ev_cell": 6.82,
  "dft_energy_ev_per_fu": -29.9,
  "formation_energy_ev_per_atom": -0.1427,
  "lattice_angstrom": [[5.566, 0.000, 0.000], [0.000, 6.552, 3.782], [0.000, 0.000, 7.565]],
  "species": ["Mg", "Mg", "Mg", "Mg", "In", "In", "In", "In", "In", "In", "Ni", "Ni", "Ni", "Ni", "Ni", "Ni"],
  "frac_coords": [[0.000, 0.333, 0.333], [0.500, 0.667, 0.667], [0.000, 0.667, 0.667], [0.500, 0.333, 0.333], [0.750, 0.000, 0.256], [0.750, 0.256, 0.744], [0.750, 0.744, 0.000], [0.250, 0.000, 0.744], [0.250, 0.744, 0.256], [0.250, 0.256, 0.000], [0.750, 0.000, 0.606], [0.750, 0.606, 0.394], [0.750, 0.394, 0.000], [0.250, 0.000, 0.394], [0.250, 0.394, 0.606], [0.250, 0.606, 0.000]]
}



No. 4
{
  "formula": "NiTeAs2",
  "functional": "PBE",
  "state": "relaxed",
  "space_group": "No. 123",
  "e_form_raw_mev_per_atom": 26.8,
  "n_ef_per_ev_cell": 1.09,
  "dft_energy_ev_per_fu": -18.1,
  "lattice_angstrom": [[2.918, 0.038, 0.000], [-0.034, 2.918, 0.000], [0.000, 0.000, 10.585]],
  "species": ["As", "As", "Ni", "Te"],
  "frac_coords": [[0.000, 0.000, 0.105], [0.000, 0.000, 0.395], [0.500, 0.500, 0.250], [0.500, 0.500, 0.750]]
}



No. 5
{
  "formula": "LiLa2Ni4As3",
  "functional": "PBE",
  "state": "relaxed",
  "space_group": "No. 115",
  "n_ef_per_ev_cell": 6.58,
  "dft_energy_ev_per_fu": -56.8,
  "formation_energy_ev_per_atom": -0.7991,
  "lattice_angstrom": [[-3.205, -2.253, 1.430], [-1.325, -0.597, -3.909], [5.392, -8.050, -0.598]],
  "species": ["Li", "La", "La", "Ni", "Ni", "Ni", "Ni", "As", "As", "As"],
  "frac_coords": [[0.500, 0.500, 0.500], [0.500, 0.000, 0.244], [0.000, 0.500, 0.756], [0.500, 0.500, 0.000], [0.000, 0.000, 0.000], [0.500, 0.000, 0.624], [0.000, 0.500, 0.376], [0.000, 0.000, 0.500], [0.500, 0.000, 0.870], [0.000, 0.500, 0.130]]
}



No. 6
{
  "formula": "TcBAs",
  "functional": "PBE",
  "state": "relaxed",
  "space_group": "No. 10",
  "n_ef_per_ev_cell": 4.08,
  "dft_energy_ev_per_fu": -21.1,
  "formation_energy_ev_per_atom": 0.1833,
  "lattice_angstrom": [[3.029, -0.019, 0.005], [0.028, 5.097, 0.785], [0.004, 2.220, 5.485]],
  "species": ["Tc", "Tc", "B", "B", "As", "As"],
  "frac_coords": [[0.500, 0.478, 0.253], [0.500, 0.522, 0.747], [0.000, 0.298, 0.085], [0.000, 0.702, 0.915], [0.501, 0.046, 0.726], [0.499, 0.954, 0.274]]
}



No. 7
{
  "formula": "PrEuErSc",
  "functional": "PBE",
  "state": "relaxed",
  "space_group": "No. 216",
  "n_ef_per_ev_cell": 6.30,
  "dft_energy_ev_per_fu": -25.3,
  "formation_energy_ev_per_atom": 0.1558,
  "lattice_angstrom": [[-2.401, 4.547, 2.384], [-0.584, 0.271, 5.631], [3.157, 3.623, 3.005]],
  "species": ["Eu", "Pr", "Sc", "Er"],
  "frac_coords": [[0.250, 0.250, 0.250], [0.750, 0.750, 0.750], [0.000, 0.000, 0.000], [0.500, 0.500, 0.500]]
}



No. 8
{
  "formula": "V5Mo4Ir",
  "functional": "PBE",
  "state": "relaxed",
  "space_group": "No. 123",
  "n_ef_per_ev_cell": 7.82,
  "dft_energy_ev_per_fu": -99.7,
  "formation_energy_ev_per_atom": -0.1971,
  "lattice_angstrom": [[3.067, 0.000, 0.000], [0.000, 3.067, 0.000], [0.000, 0.000, 15.355]],
  "species": ["V", "V", "V", "V", "V", "Mo", "Mo", "Mo", "Mo", "Ir"],
  "frac_coords": [[0.500, 0.500, 0.103], [0.500, 0.500, 0.299], [0.500, 0.500, 0.500], [0.500, 0.500, 0.701], [0.500, 0.500, 0.897], [0.000, 0.000, 0.198], [0.000, 0.000, 0.400], [0.000, 0.000, 0.600], [0.000, 0.000, 0.802], [0.000, 0.000, 0.000]]
}



No. 9
{
  "formula": "InHgTe2",
  "functional": "PBE",
  "state": "relaxed",
  "space_group": "No. 119",
  "e_form_raw_mev_per_atom": 98.7,
  "n_ef_per_ev_cell": 2.93,
  "dft_energy_ev_per_fu": -8.9,
  "lattice_angstrom": [[5.439, -0.139, 0.000], [0.048, 5.441, 0.000], [-2.744, -2.651, 3.879]],
  "species": ["Hg", "In", "Te", "Te"],
  "frac_coords": [[0.500, 0.500, 0.000], [0.750, 0.250, 0.500], [0.000, 0.000, 0.000], [0.250, 0.750, 0.500]]
}



No. 10
{
  "formula": "BaNaSrSi",
  "functional": "PBE",
  "state": "relaxed",
  "space_group": "No. 216",
  "e_form_raw_mev_per_atom": -132.7,
  "n_ef_per_ev_cell": 0.79,
  "dft_energy_ev_per_fu": -10.9,
  "lattice_angstrom": [[5.747, 0.000, 0.000], [2.874, 4.977, 0.000], [2.874, 1.659, 4.693]],
  "species": ["Sr", "Si", "Ba", "Na"],
  "frac_coords": [[0.500, 0.500, 0.500], [0.750, 0.750, 0.750], [0.000, 0.000, 0.000], [0.250, 0.250, 0.250]]
}



No. 11
{
  "formula": "LiLaTe2",
  "functional": "PBE",
  "state": "relaxed",
  "space_group": "No. 216",
  "e_form_raw_mev_per_atom": -682.7,
  "dft_energy_ev_per_fu": -15.9,
  "lattice_angstrom": [[5.427, 0.000, 0.000], [2.714, 4.700, 0.000], [2.714, 1.567, 4.431]],
  "species": ["La", "Li", "Te", "Te"],
  "frac_coords": [[0.500, 0.500, 0.500], [0.750, 0.750, 0.750], [0.000, 0.000, 0.000], [0.250, 0.250, 0.250]]
}



No. 12
{
  "formula": "CdRh4",
  "functional": "PBE",
  "state": "relaxed",
  "relative_energy_ev_per_atom": 1.267,
  "space_group": "No. 229",
  "n_ef_per_ev_cell": 9.33,
  "dft_energy_ev_per_fu": -23.8,
  "formation_energy_ev_per_atom": 1.3059,
  "lattice_angstrom": [[4.338, -2.194, -1.422], [-0.080, 0.471, 5.042], [-3.906, -2.859, -1.491]],
  "species": ["Cd", "Rh", "Rh", "Rh", "Rh"],
  "frac_coords": [[0.000, 0.000, 0.000], [0.500, 0.000, 0.000], [0.500, 0.500, 0.500], [0.000, 0.500, 0.000], [0.000, 0.000, 0.500]]
}



No. 13
{
  "formula": "Ca4SeI2N",
  "functional": "PBE",
  "state": "relaxed",
  "space_group": "No. 10",
  "e_form_raw_mev_per_atom": -1313.9,
  "n_ef_per_ev_cell": 2.28,
  "dft_energy_ev_per_fu": -33.4,
  "lattice_angstrom": [[-1.468, -0.225, 3.759], [0.634, -7.188, -0.183], [6.662, 2.926, 2.778]],
  "species": ["Ca", "Ca", "Ca", "Ca", "Se", "I", "I", "N"],
  "frac_coords": [[0.500, 0.278, 0.179], [0.500, 0.722, 0.821], [0.000, 0.307, 0.826], [0.000, 0.693, 0.174], [0.000, 0.000, 0.000], [0.500, 0.000, 0.500], [0.000, 0.500, 0.500], [0.500, 0.500, 0.000]]
}



No. 14
{
  "formula": "Tl2ZnSi",
  "functional": "PBE",
  "state": "relaxed",
  "relative_energy_ev_per_atom": 0.263,
  "space_group": "No. 10",
  "e_form_raw_mev_per_atom": 422.4,
  "n_ef_per_ev_cell": 1.43,
  "dft_energy_ev_per_fu": -9.7,
  "lattice_angstrom": [[4.183, 0.000, 0.000], [0.000, 3.453, 0.050], [0.000, 2.569, 6.515]],
  "species": ["Si", "Tl", "Tl", "Zn"],
  "frac_coords": [[0.500, 0.750, 0.750], [0.000, 0.015, 0.000], [0.000, 0.485, 0.500], [0.500, 0.250, 0.250]]
}



No. 15
{
  "formula": "MnFeCl2",
  "functional": "PBE",
  "state": "relaxed",
  "relative_energy_ev_per_atom": 0.407,
  "space_group": "No. 166",
  "e_form_raw_mev_per_atom": 46.2,
  "n_ef_per_ev_cell": 2.74,
  "dft_energy_ev_per_fu": -21.1,
  "lattice_angstrom": [[8.931, 0.171, 0.102], [8.280, 3.352, 0.102], [8.280, 1.695, 2.894]],
  "species": ["Mn", "Fe", "Cl", "Cl"],
  "frac_coords": [[0.750, 0.750, 0.750], [0.250, 0.250, 0.250], [0.977, 0.977, 0.977], [0.523, 0.523, 0.523]]
}



No. 16
{
  "formula": "In2Co2Sb",
  "functional": "PBE",
  "state": "relaxed",
  "space_group": "No. 127",
  "e_form_raw_mev_per_atom": 167.4,
  "n_ef_per_ev_cell": 10.03,
  "dft_energy_ev_per_fu": -23.0,
  "lattice_angstrom": [[6.711, 0.000, 0.000], [0.000, 6.711, 0.000], [0.000, 0.000, 3.914]],
  "species": ["Sb", "Sb", "Co", "Co", "Co", "Co", "In", "In", "In", "In"],
  "frac_coords": [[0.000, 0.000, 0.000], [0.500, 0.500, 0.000], [0.354, 0.854, 0.000], [0.854, 0.646, 0.000], [0.646, 0.146, 0.000], [0.146, 0.354, 0.000], [0.155, 0.655, 0.500], [0.655, 0.845, 0.500], [0.845, 0.345, 0.500], [0.345, 0.155, 0.500]]
}



No. 17
{
  "formula": "LaGd2Mg",
  "functional": "PBE",
  "state": "relaxed",
  "relative_energy_ev_per_atom": 0.097,
  "space_group": "No. 225",
  "n_ef_per_ev_cell": 6.97,
  "dft_energy_ev_per_fu": -34.4,
  "formation_energy_ev_per_atom": 0.0643,
  "lattice_angstrom": [[5.586, 0.000, 0.000], [2.793, 4.838, 0.000], [2.793, 1.613, 4.561]],
  "species": ["Mg", "Gd", "Gd", "La"],
  "frac_coords": [[0.500, 0.500, 0.500], [0.250, 0.250, 0.250], [0.750, 0.750, 0.750], [0.000, 0.000, 0.000]]
}



No. 18
{
  "formula": "Tl3InB",
  "functional": "PBE",
  "state": "relaxed",
  "relative_energy_ev_per_atom": 0.000,
  "space_group": "No. 221",
  "n_ef_per_ev_cell": 3.24,
  "dft_energy_ev_per_fu": -13.4,
  "formation_energy_ev_per_atom": 0.6157,
  "lattice_angstrom": [[5.092, 0.000, 0.000], [0.000, 5.092, 0.000], [0.000, 0.000, 5.092]],
  "species": ["Tl", "Tl", "Tl", "B", "In"],
  "frac_coords": [[0.000, 0.500, 0.000], [0.000, 0.000, 0.500], [0.500, 0.000, 0.000], [0.000, 0.000, 0.000], [0.500, 0.500, 0.500]]
}



No. 19
{
  "formula": "RbBa2VW",
  "functional": "PBE",
  "state": "relaxed",
  "space_group": "No. 123",
  "n_ef_per_ev_cell": 4.33,
  "dft_energy_ev_per_fu": -15.2,
  "formation_energy_ev_per_atom": 2.3327,
  "lattice_angstrom": [[6.274, 0.000, 0.000], [0.000, 5.049, 0.000], [0.000, 0.000, 6.274]],
  "species": ["Rb", "Ba", "Ba", "W", "V"],
  "frac_coords": [[0.000, 0.000, 0.000], [0.000, 0.000, 0.500], [0.500, 0.000, 0.000], [0.500, 0.500, 0.500], [0.000, 0.500, 0.000]]
}



No. 20
{
  "formula": "SrRhAu",
  "functional": "PBE",
  "state": "relaxed",
  "relative_energy_ev_per_atom": 0.000,
  "space_group": "No. 187",
  "n_ef_per_ev_cell": 0.98,
  "dft_energy_ev_per_fu": -13.4,
  "formation_energy_ev_per_atom": -0.3636,
  "lattice_angstrom": [[4.476, 0.000, 0.000], [-2.238, 3.877, 0.000], [0.000, 0.000, 4.271]],
  "species": ["Au", "Rh", "Sr"],
  "frac_coords": [[0.000, 0.000, 0.167], [0.667, 0.333, 0.167], [0.333, 0.667, 0.667]]
}



No. 21
{
  "formula": "CrCuBP2",
  "functional": "PBE",
  "state": "relaxed",
  "space_group": "No. 123",
  "n_ef_per_ev_cell": 3.11,
  "dft_energy_ev_per_fu": -23.4,
  "formation_energy_ev_per_atom": 1.5676,
  "lattice_angstrom": [[4.318, 0.000, 0.000], [0.000, 4.773, 0.000], [0.000, 0.000, 4.318]],
  "species": ["Cr", "B", "Cu", "P", "P"],
  "frac_coords": [[0.000, 0.500, 0.000], [0.500, 0.500, 0.500], [0.000, 0.000, 0.000], [0.000, 0.000, 0.500], [0.500, 0.000, 0.000]]
}



No. 22
{
  "formula": "CaScTc2Se",
  "functional": "PBE",
  "state": "relaxed",
  "space_group": "No. 123",
  "e_form_raw_mev_per_atom": 477.3,
  "n_ef_per_ev_cell": 4.83,
  "dft_energy_ev_per_fu": -30.2,
  "lattice_angstrom": [[-4.517, 0.535, -0.970], [-1.126, -3.848, 3.125], [-0.405, 2.992, 3.538]],
  "species": ["Sc", "Ca", "Tc", "Tc", "Se"],
  "frac_coords": [[0.500, 0.500, 0.500], [0.000, 0.500, 0.000], [0.000, 0.000, 0.500], [0.500, 0.000, 0.000], [0.000, 0.000, 0.000]]
}



No. 23
{
  "formula": "ZrCo2Ge2",
  "functional": "PBE",
  "state": "relaxed",
  "space_group": "No. 2",
  "n_ef_per_ev_cell": 1.64,
  "dft_energy_ev_per_fu": -33.3,
  "formation_energy_ev_per_atom": -0.2617,
  "lattice_angstrom": [[-1.655, 3.488, -2.935], [-4.367, 2.165, 1.033], [2.677, 6.852, 2.648]],
  "species": ["Zr", "Zr", "Co", "Co", "Co", "Co", "Ge", "Ge", "Ge", "Ge"],
  "frac_coords": [[0.875, 0.750, 0.250], [0.125, 0.250, 0.750], [0.539, 0.421, 0.250], [0.790, 0.922, 0.750], [0.210, 0.078, 0.250], [0.461, 0.579, 0.750], [0.503, 0.749, 0.997], [0.752, 0.251, 0.498], [0.497, 0.251, 0.003], [0.248, 0.749, 0.502]]
}



No. 24
{
  "formula": "CaIr",
  "functional": "PBE",
  "state": "relaxed",
  "space_group": "No. 59",
  "n_ef_per_ev_cell": 6.06,
  "dft_energy_ev_per_fu": -11.1,
  "formation_energy_ev_per_atom": -0.1164,
  "lattice_angstrom": [[12.553, 0.000, 0.000], [0.000, 4.475, 0.000], [0.000, 0.000, 5.212]],
  "species": ["Ca", "Ca", "Ca", "Ca", "Ca", "Ca", "Ir", "Ir", "Ir", "Ir", "Ir", "Ir"],
  "frac_coords": [[0.757, 0.269, 0.000], [0.257, 0.731, 0.500], [0.743, 0.731, 0.500], [0.243, 0.269, 0.000], [0.000, 0.928, 0.000], [0.500, 0.072, 0.500], [0.396, 0.794, 0.000], [0.896, 0.206, 0.500], [0.104, 0.206, 0.500], [0.604, 0.794, 0.000], [0.000, 0.696, 0.500], [0.500, 0.304, 0.000]]
}



No. 25
{
  "formula": "AgSn3Au",
  "functional": "PBE",
  "state": "relaxed",
  "relative_energy_ev_per_atom": 0.000,
  "space_group": "No. 15",
  "n_ef_per_ev_cell": 5.17,
  "dft_energy_ev_per_fu": -18.4,
  "formation_energy_ev_per_atom": -0.0520,
  "lattice_angstrom": [[7.064, 0.250, -0.412], [3.677, 6.037, -0.412], [2.830, 1.656, 11.410]],
  "species": ["Ag", "Ag", "Ag", "Ag", "Sn", "Sn", "Sn", "Sn", "Sn", "Sn", "Sn", "Sn", "Sn", "Sn", "Sn", "Sn", "Au", "Au", "Au", "Au"],
  "frac_coords": [[0.090, 0.192, 0.861], [0.808, 0.910, 0.639], [0.910, 0.808, 0.139], [0.192, 0.090, 0.361], [0.909, 0.679, 0.884], [0.321, 0.091, 0.616], [0.091, 0.321, 0.116], [0.679, 0.909, 0.384], [0.734, 0.525, 0.717], [0.475, 0.266, 0.783], [0.266, 0.475, 0.283], [0.525, 0.734, 0.217], [0.303, 0.744, 0.985], [0.256, 0.697, 0.515], [0.744, 0.303, 0.485], [0.697, 0.256, 0.015], [0.000, 0.500, 0.500], [0.500, 0.000, 0.000], [0.766, 0.234, 0.250], [0.234, 0.766, 0.750]]
}



No. 26
{
  "formula": "MgAs2Pb",
  "functional": "PBE",
  "state": "relaxed",
  "space_group": "No. 160",
  "n_ef_per_ev_cell": 2.50,
  "dft_energy_ev_per_fu": -14.9,
  "formation_energy_ev_per_atom": -0.0691,
  "lattice_angstrom": [[4.259, 0.000, 0.000], [2.130, 3.688, 0.000], [2.130, 1.229, 6.277]],
  "species": ["Mg", "As", "As", "Pb"],
  "frac_coords": [[0.670, 0.670, 0.990], [0.067, 0.067, 0.799], [0.265, 0.265, 0.205], [0.498, 0.498, 0.505]]
}